# ZnPdBr3

A geometry-optimized ZnPdBr3 structure (PBE-GGA, Alexandria).

Cell and atoms, written as POSCAR:
```
ZnPdBr3
1.0
5.1480 0.0000 0.0000
0.0000 5.1480 0.0000
0.0000 0.0000 5.1480
Zn Br Pd
1 3 1
Cartesian
2.5740 2.5740 2.5740
0.0000 2.5740 0.0000
0.0000 0.0000 2.5740
2.5740 0.0000 0.0000
0.0000 0.0000 0.0000
```

Volume, Å³/atom: 27.29
Energy above the lowest structure with this stoichiometry, meV per atom: 0
Symmetry: No. 221
Uncorrected formation energy, meV per atom: -14